(1)
The following is a PBE calculation of a relaxed structure of Pr3Au5S12, from the Alexandria database.

For the raw formation energy, the calculation gives -0.568 eV/atom.

The structure belongs to space group Ia-3d (No. 230); the cell edges are 15.5491, 15.5491 and 15.5491 Å and the angles 90.00°, 90.00° and 90.00°. The asymmetric unit holds Pr at (0.0000, 0.2500, 0.1250), Au at (0.0000, 0.0000, 0.0000), Au at (0.0000, 0.2500, 0.3750) and S at (0.0217, 0.0581, 0.6476).

(2)
The following is a PBE calculation of a relaxed structure of PmHoBeCo, from the Alexandria database.

The value obtained for the calculated formation energy is 0.1 eV/f.u.

The structure belongs to space group F-43m (No. 216); the cell edges are 6.8209, 6.8209 and 6.8209 Å and the angles 90.00°, 90.00° and 90.00°. The asymmetric unit holds Pm at (0.0000, 0.0000, 0.0000), Ho at (0.0000, 0.0000, 0.5000), Be at (0.2500, 0.2500, 0.2500) and Co at (0.2500, 0.2500, 0.7500).

(3)
The following is a PBE calculation of a relaxed structure of HfNbCI, from the Alexandria database.

For the raw formation energy, the calculation gives -0.378 eV/atom. Its excess energy over the best structure of this formula in the dataset is 4 meV/atom.

The structure belongs to space group R3m (No. 160, hexagonal axes); the cell edges are 3.4878, 3.4878 and 20.5458 Å and the angles 90.00°, 90.00° and 120.00°. The asymmetric unit holds Hf at (0.0000, 0.0000, 0.0000), Nb at (0.0000, 0.0000, 0.4351), C at (0.0000, 0.0000, 0.7191) and I at (0.0000, 0.0000, 0.2193).

(4)
The following is a PBE calculation of a relaxed structure of Th2Fe17B3, from the Alexandria database.

The value obtained for the calculated formation energy is -1.4 eV/f.u.

The structure belongs to space group R-3m (No. 166, hexagonal axes); the cell edges are 8.8273, 8.8273 and 12.4884 Å and the angles 90.00°, 90.00° and 120.00°. The asymmetric unit holds Th at (0.0000, 0.0000, 0.1559), Fe at (0.0000, 0.0000, 0.4047), Fe at (0.0000, 0.2788, 0.5000), Fe at (0.0000, 0.5000, 0.0000), Fe at (0.0104, 0.5052, 0.3424) and B at (0.0000, 0.5000, 0.5000).

(5)
The following is a PBE calculation of a relaxed structure of Ti3ReTe, from the Alexandria database.

For the raw formation energy, the calculation gives 1.365 eV/atom. Its excess energy over the best structure of this formula in the dataset is 951 meV/atom.

The structure belongs to space group Pm-3m (No. 221); the cell edges are 4.8192, 4.8192 and 4.8192 Å and the angles 90.00°, 90.00° and 90.00°. The asymmetric unit holds Ti at (0.0000, 0.0000, 0.5000), Re at (0.5000, 0.5000, 0.5000) and Te at (0.0000, 0.0000, 0.0000).

(6)
The following is a PBE calculation of a relaxed structure of Fe3CuRh6, from the Alexandria database.

The value obtained for the calculated formation energy is 0.0 eV/f.u.

The structure belongs to space group P2_1/m (No. 11); the cell edges are 7.1324, 4.3295 and 9.4143 Å and the angles 90.00°, 111.26° and 90.00°. The asymmetric unit holds Fe at (0.0971, 0.2500, 0.2286), Fe at (0.2930, 0.2500, 0.0255), Fe at (0.3160, 0.7500, 0.3725), Cu at (0.1042, 0.7500, 0.5693), Rh at (0.0811, 0.2500, 0.7239), Rh at (0.1088, 0.7500, 0.0717), Rh at (0.2870, 0.2500, 0.5236), Rh at (0.2975, 0.7500, 0.8676), Rh at (0.4919, 0.2500, 0.3266) and Rh at (0.4944, 0.2500, 0.8337).

(7)
The following is a PBE calculation of a relaxed structure of PaZn3Cu2, from the Alexandria database.

Its excess energy over the best structure of this formula in the dataset is 0 meV/atom. The value obtained for the calculated formation energy is -0.4 eV/f.u.

The structure belongs to space group P6/mmm (No. 191); the cell edges are 9.0316, 9.0316 and 4.1448 Å and the angles 90.00°, 90.00° and 120.00°. The asymmetric unit holds Pa at (0.0000, 0.0000, 0.0000), Pa at (0.3333, 0.6667, 0.5000), Zn at (0.0000, 0.2918, 0.5000), Zn at (0.0000, 0.5000, 0.0000) and Cu at (0.1902, 0.3803, 0.0000).

(8)
The following is a PBE calculation of a relaxed structure of HoThSb2, from the Alexandria database.

For the raw formation energy, the calculation gives -0.973 eV/atom. Its excess energy over the best structure of this formula in the dataset is 39 meV/atom.

The structure belongs to space group P6_3/mmc (No. 194); the cell edges are 4.3592, 4.3592 and 14.9804 Å and the angles 90.00°, 90.00° and 120.00°. The asymmetric unit holds Ho at (0.0000, 0.0000, 0.0000), Th at (0.3333, 0.6667, 0.2500) and Sb at (0.3333, 0.6667, 0.6183).

(9)
The following is a PBE calculation of a relaxed structure of CaPaMoN3, from the Alexandria database.

For the raw formation energy, the calculation gives -1.026 eV/atom.

The structure belongs to space group P2_1/m (No. 11); the cell edges are 6.3430, 3.4978 and 8.9639 Å and the angles 90.00°, 98.57° and 90.00°. The asymmetric unit holds Ca at (0.2155, 0.2500, 0.2319), Pa at (0.3274, 0.2500, 0.8544), Mo at (0.1314, 0.7500, 0.5565), N at (0.0109, 0.2500, 0.6688), N at (0.3158, 0.7500, 0.0268) and N at (0.4067, 0.7500, 0.7177).

(10)
The following is a PBE calculation of a relaxed structure of LaEr4Ge3, from the Alexandria database.

The value obtained for the calculated formation energy is -6.1 eV/f.u.

The structure belongs to space group P-31m (No. 162); the cell edges are 8.5205, 8.5205 and 6.5496 Å and the angles 90.00°, 90.00° and 120.00°. The asymmetric unit holds La at (0.3333, 0.6667, 0.0000), Er at (0.0000, 0.2402, 0.2580), Er at (0.3333, 0.6667, 0.5000) and Ge at (0.0000, 0.3918, 0.7289).

(11)
The following is a PBE calculation of a relaxed structure of Sr2B4Rh5, from the Alexandria database.

The value obtained for the calculated formation energy is -6.2 eV/f.u.

The structure belongs to space group C2/m (No. 12); the cell edges are 5.5833, 10.1332 and 6.3060 Å and the angles 90.00°, 116.18° and 90.00°. The asymmetric unit holds Sr at (0.1443, 0.0000, 0.2885), B at (0.1274, 0.3352, 0.2562), Rh at (0.0000, 0.2498, 0.5000), Rh at (0.0000, 0.5000, 0.0000) and Rh at (0.2500, 0.2500, 0.0000).

(12)
The following is a PBE calculation of a relaxed structure of BaSnHg2Bi, from the Alexandria database.

Its excess energy over the best structure of this formula in the dataset is 0 meV/atom. The value obtained for the calculated formation energy is -1.7 eV/f.u.

The structure belongs to space group Imm2 (No. 44); the cell edges are 5.0101, 5.6197 and 11.8048 Å and the angles 90.00°, 90.00° and 90.00°. The asymmetric unit holds Ba at (0.0000, 0.0000, 0.0000), Sn at (0.0000, 0.5000, 0.7362), Hg at (0.0000, 0.0000, 0.3637), Hg at (0.0000, 0.5000, 0.2850) and Bi at (0.0000, 0.0000, 0.6160).

(13)
The following is a PBE calculation of a relaxed structure of Dy4HoCd, from the Alexandria database.

Its excess energy over the best structure of this formula in the dataset is 0 meV/atom. The value obtained for the calculated formation energy is -0.5 eV/f.u.

The structure belongs to space group P4/mmm (No. 123); the cell edges are 3.5512, 3.5512 and 14.1252 Å and the angles 90.00°, 90.00° and 90.00°. The asymmetric unit holds Dy at (0.0000, 0.0000, 0.1476), Dy at (0.5000, 0.5000, 0.3237), Ho at (0.0000, 0.0000, 0.5000) and Cd at (0.5000, 0.5000, 0.0000).

(14)
The following is a PBE calculation of a relaxed structure of NpPd2Rh, from the Alexandria database.

The value obtained for the calculated formation energy is -0.7 eV/f.u.

The structure belongs to space group Fm-3m (No. 225); the cell edges are 6.5694, 6.5694 and 6.5694 Å and the angles 90.00°, 90.00° and 90.00°. The asymmetric unit holds Np at (0.0000, 0.0000, 0.0000), Pd at (0.2500, 0.2500, 0.2500) and Rh at (0.0000, 0.0000, 0.5000).